CsCa10P7O28, PBEsol geometry, DFT meta-GGA SCAN; density = 3.35 Mg/m³; total magnetic moment = 0.000 μB per atom; E_tot = -1054.3 eV for the cell shown; ΔE_f (raw) = -3.161 eV per atom
1.0
-8.7185 -5.8458 1.1536
-0.1699 -9.9705 -3.4751
1.0941 -9.1602 10.1833
O P Ca Cs
56 14 20 2
Cartesian
-5.0012 -15.3317 7.5969
-5.7529 -10.1352 5.2726
-6.3316 -21.8578 7.4962
-7.5721 -9.7751 3.6011
-2.5610 -16.4504 3.5092
-4.6241 -12.9448 8.5592
-1.8560 -4.7664 2.1926
-0.4977 -17.1880 5.5574
-1.2258 -9.9889 1.1755
-1.3545 -6.8135 3.5699
-2.5261 -14.7470 1.6910
-3.3113 -6.8656 1.9865
-5.3651 -13.2509 1.8372
-5.4969 -8.2075 3.6439
-5.2270 -15.4644 0.7140
-2.6664 -14.0360 4.1686
-1.3623 -10.3491 -1.9253
-0.2805 -14.7612 6.0515
-0.4180 -9.9015 8.1135
-0.7463 -9.9804 5.1332
-5.2288 -15.4016 3.2098
-3.0436 -11.6434 1.5481
-2.4594 -16.0460 6.6572
-0.3106 -16.3612 7.9678
-5.6582 -8.6520 0.5038
-5.2517 -19.3017 7.5009
-7.3721 -14.7688 2.0100
-7.0523 -14.6740 5.6491
-7.6137 -14.7896 -1.1865
-2.5197 -19.0662 7.0754
-7.9013 -9.9482 0.7209
-4.7788 -17.7248 5.5959
-0.8684 -11.7759 2.8819
-7.3451 -12.6622 4.2150
-5.8005 -20.0332 5.1551
-6.7718 -14.2126 8.9362
-7.7079 -7.5412 1.4205
-2.9512 -9.0324 6.1326
-5.4344 -13.5706 -1.4778
-0.9316 -12.4670 0.4421
-7.4280 -12.4928 -0.2039
-5.0939 -13.1186 5.3929
-7.1891 -18.2175 6.3135
-3.2752 -9.2310 -0.7374
-0.6319 -12.2846 7.3153
-0.5222 -14.8755 3.1598
-3.3898 -11.7343 -1.4299
-7.0835 -12.2804 6.6634
-0.9097 -6.8787 1.0927
-2.8384 -11.3574 5.1828
-2.6579 -10.9677 8.2778
-5.3640 -10.5757 2.7861
-0.8464 -11.7798 9.7919
-4.6078 -15.0038 10.0404
-2.6389 -9.2710 3.6759
-6.4618 -17.4046 9.1246
-6.0346 -9.6433 3.8448
-6.9704 -13.3867 -1.3769
-2.9109 -10.3108 -1.7885
-5.7658 -18.8090 6.1124
-2.2862 -9.9105 5.0417
-6.6443 -13.1866 5.4928
-1.4894 -11.4929 1.5057
-0.9154 -16.0860 6.5827
-2.0640 -15.0356 3.1408
-1.8686 -6.3208 2.1815
-1.1278 -11.2690 8.3707
-5.2225 -14.3513 8.7929
-7.1984 -8.6031 0.4049
-5.8269 -14.7380 1.9601
-2.4410 -18.3534 4.8233
-4.0621 -12.3302 3.4854
-0.6864 -2.7437 1.5511
-3.9282 -21.2237 6.8917
-5.6867 -6.4023 2.1042
-3.6979 -13.4308 0.1160
-7.5234 -16.0144 7.5351
-7.2642 -11.8232 2.0069
-3.4134 -7.1035 4.7922
-0.5185 -8.5841 -0.5835
-3.7253 -9.3394 1.5780
-7.3136 -19.7716 8.6604
0.0332 -4.9704 4.2731
-4.5162 -11.2832 6.8583
-4.3183 -15.3599 5.3384
-0.8602 -12.7354 4.9893
-7.5262 -21.8740 5.4568
-4.0182 -17.3842 8.2875
0.9291 -9.0021 9.7378
-0.1883 -8.8410 2.9816
-6.8648 -17.7557 3.1441
-1.8735 -14.4277 9.3965